No. 1
Computed, not measured: a relaxed structure of CePu4Te5 at the PBE-GGA level of DFT.

Calculated total energy = -9.02 eV per atom
Formation energy without anion corrections = -1.12 eV/atom
Mass density = 9.4 Mg/m³
Space group = Immm, No. 71
Magnetization = 1.09 μB per formula unit

Cell lengths 11.8071, 11.8071, 11.8071 Å; angles 158.37, 149.07, 38.06 degrees
Closest atoms and distances in Å follow each position.
Positions (direct):
Ce 0.0000 0.0000 0.0000  6 Te 3.15-3.17
Pu 0.2017 0.2017 0.0000  6 Te 3.13-3.15
Pu 0.4009 0.4009 0.0000  6 Te 3.13-3.15
Pu 0.5991 0.5991 0.0000  6 Te 3.13-3.15
Pu 0.7983 0.7983 0.0000  6 Te 3.13-3.15
Te 0.1018 0.6018 0.5000  4 Pu 3.14-3.15, 2 Ce 3.17
Te 0.3005 0.8005 0.5000  6 Pu 3.13-3.15
Te 0.5000 0.0000 0.5000  4 Pu 3.13, 2 Ce 3.15
Te 0.6995 0.1995 0.5000  6 Pu 3.13-3.15
Te 0.8982 0.3982 0.5000  4 Pu 3.14-3.15, 2 Ce 3.17

No. 2
Computed, not measured: a relaxed structure of PmHo2As3 at the PBE-GGA level of DFT.

Calculated total energy = -6.16 eV per atom
Calculated formation energy = -1520.5 meV/atom
Mass density = 7.7 Mg/m³
Space group = Immm, No. 71
Magnetization = 0.00 μB per formula unit

Cell lengths 4.1500, 5.8681, 12.4336 Å; angles 90.00, 90.00, 90.00 degrees
Closest atoms and distances in Å follow each position.
Positions (direct):
Pm 0.0000 0.0000 0.0000  6 As 2.93-2.97
Pm 0.5000 0.5000 0.5000  6 As 2.93-2.97
Ho 0.0000 0.0000 0.3341  6 As 2.90-2.93
Ho 0.0000 0.0000 0.6659  6 As 2.90-2.93
Ho 0.5000 0.5000 0.1659  6 As 2.90-2.93
Ho 0.5000 0.5000 0.8341  6 As 2.90-2.93
As 0.0000 0.5000 0.0000  4 Ho 2.93, 2 Pm 2.93
As 0.0000 0.5000 0.3288  4 Ho 2.90-2.93, 2 Pm 2.97
As 0.0000 0.5000 0.6712  4 Ho 2.90-2.93, 2 Pm 2.97
As 0.5000 0.0000 0.1712  4 Ho 2.90-2.93, 2 Pm 2.97
As 0.5000 0.0000 0.5000  4 Ho 2.93, 2 Pm 2.93
As 0.5000 0.0000 0.8288  4 Ho 2.90-2.93, 2 Pm 2.97

No. 3
Computed, not measured: a relaxed structure of CaY2TiBr at the PBE-GGA level of DFT.

Calculated total energy = -3.86 eV per atom
Formation energy without anion corrections = 1.04 eV/atom
Mass density = 3.2 Mg/m³
Space group = P4/mmm, No. 123
Magnetization = 0.22 μB per formula unit

Cell lengths 5.9515, 5.9515, 5.1099 Å; angles 90.00, 90.00, 90.00 degrees
Closest atoms and distances in Å follow each position.
Positions (direct):
Ca 0.0000 0.0000 0.0000  2 Br 2.55
Y 0.0000 0.5000 0.0000  2 Ca 2.98
Y 0.5000 0.0000 0.0000  2 Ca 2.98
Ti 0.5000 0.5000 0.5000  8 Y 3.92, 4 Br 4.21
Br 0.0000 0.0000 0.5000  2 Ca 2.55

Question: calculated total energy of number 1 (CePu4Te5)?
Answer: -9.02 eV per atom